[1]
NaTeN2, relaxed, DFT PBE; magnetization = 0.9 μB per cell; N(E_F) = 2.23 states/eV/f.u.; total energy = -16.07 eV/f.u.; uncorrected formation energy = 1.259 eV per atom; relative energy among the computed polymorphs = 590 kJ/mol of formula units
1.0
0.0000 2.9362 2.9362
2.9362 0.0000 2.9362
2.9362 2.9362 0.0000
Na Te N
1 1 2
direct
0.0000 0.0000 0.0000
0.5000 0.5000 0.5000
0.2500 0.2500 0.2500
0.7500 0.7500 0.7500

***

[2]
CuSi2Ni, relaxed, DFT PBE; magnetization = 0.0 μB per cell; N(E_F) = 1.82 states/eV/f.u.; total energy = -20.81 eV/f.u.; uncorrected formation energy = -0.020 eV per atom
1.0
2.6140 0.0000 0.0000
0.0000 3.6065 0.0000
0.0000 0.0000 5.1616
Cu Si Ni
1 2 1
direct
0.0000 0.0000 0.0000
0.5000 0.5000 0.2569
0.5000 0.5000 0.7431
0.0000 0.0000 0.5000

***

[3]
LaOsS2, relaxed, DFT PBE; magnetization = 0.0 μB per cell; N(E_F) = 4.06 states/eV/f.u.; total energy = -25.50 eV/f.u.; uncorrected formation energy = -0.273 eV per atom; relative energy among the computed polymorphs = 157 kJ/mol of formula units
1.0
1.8967 1.0951 7.5809
-1.8967 1.0951 7.5809
0.0000 -2.1901 7.5809
La Os S
1 1 2
direct
0.0000 0.0000 0.0000
0.5000 0.5000 0.5000
0.1224 0.1224 0.1224
0.8776 0.8776 0.8776

***

[4]
Tl12Se3Br5, relaxed, DFT PBE; magnetization = 0.0 μB per cell; N(E_F) = 2.03 states/eV/f.u.; total energy = -56.26 eV/f.u.; uncorrected formation energy = -0.452 eV per atom
1.0
-9.5725 9.5725 9.5725
9.5725 -9.5725 9.5725
9.5725 9.5725 -9.5725
Tl Se Br
48 12 20
direct
0.0598 0.7220 0.6606
0.0598 0.8378 0.3992
0.0614 0.2220 0.1622
0.0614 0.3394 0.8992
0.1008 0.6622 0.4402
0.1008 0.9386 0.6606
0.1606 0.2220 0.5598
0.1606 0.4386 0.6008
0.1622 0.0614 0.2220
0.1622 0.6008 0.9402
0.2220 0.1622 0.0614
0.2220 0.5598 0.1606
0.2780 0.3394 0.9402
0.2780 0.4386 0.3378
0.3378 0.2780 0.4386
0.3378 0.5598 0.8992
0.3394 0.8992 0.0614
0.3394 0.9402 0.2780
0.3992 0.0598 0.8378
0.3992 0.8394 0.5614
0.4386 0.3378 0.2780
0.4386 0.6008 0.1606
0.4402 0.1008 0.6622
0.4402 0.8394 0.7780
0.5598 0.1606 0.2220
0.5598 0.8992 0.3378
0.5614 0.3992 0.8394
0.5614 0.6622 0.7220
0.6008 0.1606 0.4386
0.6008 0.9402 0.1622
0.6606 0.0598 0.7220
0.6606 0.1008 0.9386
0.6622 0.4402 0.1008
0.6622 0.7220 0.5614
0.7220 0.5614 0.6622
0.7220 0.6606 0.0598
0.7780 0.4402 0.8394
0.7780 0.8378 0.9386
0.8378 0.3992 0.0598
0.8378 0.9386 0.7780
0.8394 0.5614 0.3992
0.8394 0.7780 0.4402
0.8992 0.0614 0.3394
0.8992 0.3378 0.5598
0.9386 0.6606 0.1008
0.9386 0.7780 0.8378
0.9402 0.1622 0.6008
0.9402 0.2780 0.3394
0.1250 0.2500 0.3750
0.1250 0.3750 0.7500
0.2500 0.3750 0.1250
0.2500 0.8750 0.6250
0.3750 0.1250 0.2500
0.3750 0.7500 0.1250
0.6250 0.2500 0.8750
0.6250 0.8750 0.7500
0.7500 0.1250 0.3750
0.7500 0.6250 0.8750
0.8750 0.6250 0.2500
0.8750 0.7500 0.6250
0.0000 0.0000 0.0000
0.0000 0.0000 0.5000
0.0000 0.5000 0.0000
0.0000 0.5000 0.5000
0.1250 0.7500 0.8750
0.1250 0.8750 0.2500
0.2500 0.1250 0.8750
0.2500 0.6250 0.3750
0.3750 0.2500 0.6250
0.3750 0.6250 0.7500
0.5000 0.0000 0.0000
0.5000 0.0000 0.5000
0.5000 0.5000 0.0000
0.5000 0.5000 0.5000
0.6250 0.3750 0.2500
0.6250 0.7500 0.3750
0.7500 0.3750 0.6250
0.7500 0.8750 0.1250
0.8750 0.1250 0.7500
0.8750 0.2500 0.1250

***

[5]
NdSmErAg, relaxed, DFT PBE; magnetization = 0.0 μB per cell; N(E_F) = 4.83 states/eV/f.u.; E_form = -130 meV per atom; total energy = -17.42 eV/f.u.; relative energy among the computed polymorphs = 0 kJ/mol of formula units
1.0
3.6399 0.0000 0.0000
0.0000 3.6399 0.0000
0.0000 0.0000 8.8371
Nd Sm Er Ag
1 1 1 1
direct
0.0000 0.0000 0.0000
0.5000 0.5000 0.7051
0.5000 0.5000 0.2878
0.0000 0.0000 0.4812

***

[6]
Ac5Te5Ir, relaxed, DFT PBE; magnetization = 0.0 μB per cell; N(E_F) = 7.12 states/eV/f.u.; total energy = -60.07 eV/f.u.; uncorrected formation energy = -1.360 eV per atom
1.0
7.5214 -3.3287 0.0000
7.5214 3.3287 0.0000
-2.9687 0.0000 8.7856
Ac Te Ir
5 5 1
direct
0.0000 0.0000 0.0000
0.3474 0.3474 0.6876
0.3568 0.3568 0.1508
0.6432 0.6432 0.8492
0.6526 0.6526 0.3124
0.1684 0.1684 0.8319
0.1872 0.1872 0.3292
0.5000 0.5000 0.5000
0.8128 0.8128 0.6708
0.8316 0.8316 0.1681
0.5000 0.5000 0.0000

***

[7]
Er12Tl6Ni, relaxed, DFT PBE; magnetization = 0.0 μB per cell; N(E_F) = 17.68 states/eV/f.u.; E_form = -148 meV per atom; total energy = -77.55 eV/f.u.
1.0
6.0109 3.4704 4.4215
-6.0109 3.4704 4.4215
0.0000 -6.9408 4.4215
Er Tl Ni
12 6 1
direct
0.0415 0.7047 0.9252
0.0748 0.9585 0.2953
0.1909 0.5283 0.4104
0.2953 0.0748 0.9585
0.4104 0.1909 0.5283
0.4717 0.5896 0.8091
0.5283 0.4104 0.1909
0.5896 0.8091 0.4717
0.7047 0.9252 0.0415
0.8091 0.4717 0.5896
0.9252 0.0415 0.7047
0.9585 0.2953 0.0748
0.1480 0.3635 0.7630
0.2370 0.8520 0.6365
0.3635 0.7630 0.1480
0.6365 0.2370 0.8520
0.7630 0.1480 0.3635
0.8520 0.6365 0.2370
0.5000 0.5000 0.5000

***

[8]
Li2CaRu, relaxed, DFT PBE; magnetization = 0.8 μB per cell; N(E_F) = 3.23 states/eV/f.u.; E_form = 268 meV per atom; total energy = -14.03 eV/f.u.; relative energy among the computed polymorphs = 3 kJ/mol of formula units
1.0
3.1165 0.0000 0.0000
0.0000 3.5059 0.0000
0.0000 0.0000 7.2816
Li Ca Ru
2 1 1
direct
0.0000 0.0000 0.0000
0.5000 0.5000 0.2040
0.5000 0.5000 0.6182
0.0000 0.0000 0.3715